Material: KLuGa
Method: DFT, PBE
State: optimized geometry

Geometry as CIF:
```
data_KLuGa
_symmetry_space_group_name_H-M 'P 1'
_symmetry_Int_Tables_number 1
_symmetry_space_group_name_Hall 'P 1'
_cell_length_a 5.225
_cell_length_b 5.225
_cell_length_c 5.225
_cell_angle_alpha 60.00
_cell_angle_beta 60.00
_cell_angle_gamma 60.00
loop_
_atom_site_label
_atom_site_type_symbol
_atom_site_fract_x
_atom_site_fract_y
_atom_site_fract_z
_atom_site_occupancy
K1 K 0.000 0.000 0.000 1
Lu1 Lu 0.500 0.500 0.500 1
Ga1 Ga 0.250 0.250 0.250 1
```

## Properties
Energy relative to the lowest polymorph listed for this composition (meV per atom): 0.0